Here is crystalline Gd2ErGe at its relaxed geometry from Alexandria via LeMat-Bulk. Energies are from GGA-PBE.

a = 4.0105 Å, b = 4.0105 Å, c = 6.6434 Å
α = 90.00°, β = 90.00°, γ = 90.00°
With the nearest neighbours (Å) after each atom.
Space group P4/mmm (No. 123)
Asymmetric unit:
Gd: 0.0000 0.0000 0.2186 (multiplicity 2)  1 Gd 2.90, 4 Ge 3.19
Er: 0.5000 0.5000 0.5000 (multiplicity 1)  2 Ge 3.32, 8 Gd 3.40
Ge: 0.5000 0.5000 0.0000 (multiplicity 1)  8 Gd 3.19, 2 Er 3.32

Output
**Distance to the lowest polymorph of the same formula**: 17 meV/atom

---

Here is crystalline GdEr2Ge at its relaxed geometry from Alexandria via LeMat-Bulk. Energies are from GGA-PBE.

a = 4.6773 Å, b = 4.6773 Å, c = 4.6139 Å
α = 90.00°, β = 90.00°, γ = 90.00°
With the nearest neighbours (Å) after each atom.
Space group P4/mmm (No. 123)
Asymmetric unit:
Gd: 0.0000 0.0000 0.0000 (multiplicity 1)  8 Er 3.29, 4 Ge 3.31
Er: 0.0000 0.5000 0.5000 (multiplicity 2)  4 Ge 3.29, 4 Gd 3.29, 4 Er 3.31
Ge: 0.5000 0.5000 0.0000 (multiplicity 1)  8 Er 3.29, 4 Gd 3.31

Output
**Distance to the lowest polymorph of the same formula**: 0 meV/atom

---

Here is crystalline Gd2ErGe at its relaxed geometry from Alexandria via LeMat-Bulk. Energies are from GGA-PBE.

a = 4.6679 Å, b = 4.6679 Å, c = 4.7257 Å
α = 90.00°, β = 90.00°, γ = 90.00°
With the nearest neighbours (Å) after each atom.
Space group P4/mmm (No. 123)
Asymmetric unit:
Gd: 0.0000 0.5000 0.0000 (multiplicity 2)  4 Gd 3.30, 4 Ge 3.32, 4 Er 3.32
Er: 0.0000 0.0000 0.5000 (multiplicity 1)  4 Ge 3.30, 8 Gd 3.32
Ge: 0.5000 0.5000 0.5000 (multiplicity 1)  4 Er 3.30, 8 Gd 3.32

Output
**Distance to the lowest polymorph of the same formula**: 0 meV/atom

---

Here is crystalline GdErGe4 at its relaxed geometry from Alexandria via LeMat-Bulk. Energies are from GGA-PBE.

a = 7.9628 Å, b = 7.9628 Å, c = 7.9628 Å
α = 90.00°, β = 90.00°, γ = 90.00°
With the nearest neighbours (Å) after each atom.
Space group F-43m (No. 216)
Asymmetric unit:
Gd: 0.0000 0.0000 0.0000 (multiplicity 4)  12 Ge 3.30, 4 Er 3.45
Er: 0.2500 0.2500 0.2500 (multiplicity 4)  12 Ge 3.30, 4 Gd 3.45
Ge: 0.1245 0.1245 0.6245 (multiplicity 16)  6 Ge 2.80-2.83

Output
**Raw total energy**: -6.507 eV/atom

---

Here is crystalline LiGdErGe at its relaxed geometry from Alexandria via LeMat-Bulk. Energies are from GGA-PBE.

a = 7.1003 Å, b = 7.1003 Å, c = 7.1003 Å
α = 90.00°, β = 90.00°, γ = 90.00°
With the nearest neighbours (Å) after each atom.
Space group F-43m (No. 216)
Asymmetric unit:
Li: 0.0000 0.0000 0.0000 (multiplicity 4)  4 Er 3.07, 4 Gd 3.07
Gd: 0.2500 0.2500 0.7500 (multiplicity 4)  4 Li 3.07, 4 Ge 3.07
Er: 0.2500 0.2500 0.2500 (multiplicity 4)  4 Ge 3.07, 4 Li 3.07
Ge: 0.0000 0.0000 0.5000 (multiplicity 4)  4 Gd 3.07, 4 Er 3.07

Output
**Raw total energy**: -6.699 eV/atom

---

Here is crystalline GdErGeRu at its relaxed geometry from Alexandria via LeMat-Bulk. Energies are from GGA-PBE.

a = 6.9735 Å, b = 6.9735 Å, c = 6.9735 Å
α = 90.00°, β = 90.00°, γ = 90.00°
With the nearest neighbours (Å) after each atom.
Space group F-43m (No. 216)
Asymmetric unit:
Gd: 0.0000 0.0000 0.0000 (multiplicity 4)  4 Ge 3.02, 4 Ru 3.02
Er: 0.0000 0.0000 0.5000 (multiplicity 4)  4 Ge 3.02, 4 Ru 3.02
Ge: 0.2500 0.2500 0.7500 (multiplicity 4)  4 Gd 3.02, 4 Er 3.02
Ru: 0.2500 0.2500 0.2500 (multiplicity 4)  4 Er 3.02, 4 Gd 3.02

Output
**Raw total energy**: -8.606 eV/atom

---

Here is crystalline GdErTlGe at its relaxed geometry from Alexandria via LeMat-Bulk. Energies are from GGA-PBE.

a = 7.3949 Å, b = 7.3949 Å, c = 7.3949 Å
α = 90.00°, β = 90.00°, γ = 90.00°
With the nearest neighbours (Å) after each atom.
Space group F-43m (No. 216)
Asymmetric unit:
Gd: 0.0000 0.0000 0.0000 (multiplicity 4)  4 Ge 3.20, 4 Tl 3.20
Er: 0.0000 0.0000 0.5000 (multiplicity 4)  4 Ge 3.20, 4 Tl 3.20
Tl: 0.2500 0.2500 0.2500 (multiplicity 4)  4 Gd 3.20, 4 Er 3.20
Ge: 0.2500 0.2500 0.7500 (multiplicity 4)  4 Gd 3.20, 4 Er 3.20

Output
**Raw total energy**: -6.840 eV/atom

---

Here is crystalline Gd3Er5H12 at its relaxed geometry from Alexandria via LeMat-Bulk. Energies are from GGA-PBE.

a = 13.0192 Å, b = 13.0192 Å, c = 13.0192 Å
α = 90.00°, β = 90.00°, γ = 90.00°
With the nearest neighbours (Å) after each atom.
Space group Ia-3d (No. 230)
Asymmetric unit:
Gd: 0.0000 0.2500 0.1250 (multiplicity 24)  8 H 2.27-2.42
Er: 0.0000 0.0000 0.0000 (multiplicity 16)  6 H 2.19
Er: 0.0000 0.2500 0.3750 (multiplicity 24)  4 H 2.18
H: 0.0047 0.0667 0.6545 (multiplicity 96)  2 Er 2.18-2.19, 2 Gd 2.27-2.42, 1 H 2.39

Output
**Raw total energy**: -5.737 eV/atom

---

Here is crystalline GdErH2 at its relaxed geometry from Alexandria via LeMat-Bulk. Energies are from GGA-PBE.

a = 3.4785 Å, b = 3.4785 Å, c = 16.9756 Å
α = 90.00°, β = 90.00°, γ = 120.00°
With the nearest neighbours (Å) after each atom.
Space group R-3m (No. 166, hexagonal axes)
Asymmetric unit:
Gd: 0.0000 0.0000 0.0000 (multiplicity 3)  6 H 2.48
Er: 0.0000 0.0000 0.5000 (multiplicity 3)  6 H 2.43
H: 0.0000 0.0000 0.2473 (multiplicity 6)  3 Er 2.43, 3 Gd 2.48

Output
**Raw total energy**: -6.705 eV/atom

---

Here is crystalline GdErHfTh at its relaxed geometry from Alexandria via LeMat-Bulk. Energies are from GGA-PBE.

a = 7.7213 Å, b = 7.7213 Å, c = 7.7213 Å
α = 90.00°, β = 90.00°, γ = 90.00°
With the nearest neighbours (Å) after each atom.
Space group F-43m (No. 216)
Asymmetric unit:
Gd: 0.0000 0.0000 0.0000 (multiplicity 4)  4 Hf 3.34, 4 Er 3.34
Er: 0.2500 0.2500 0.7500 (multiplicity 4)  4 Gd 3.34, 4 Th 3.34
Hf: 0.2500 0.2500 0.2500 (multiplicity 4)  4 Th 3.34, 4 Gd 3.34
Th: 0.0000 0.0000 0.5000 (multiplicity 4)  4 Er 3.34, 4 Hf 3.34

Output
**Raw total energy**: -8.811 eV/atom

---

Here is crystalline GdEr2Hg at its relaxed geometry from Alexandria via LeMat-Bulk. Energies are from GGA-PBE.

a = 3.5738 Å, b = 3.5738 Å, c = 8.9088 Å
α = 90.00°, β = 90.00°, γ = 90.00°
With the nearest neighbours (Å) after each atom.
Space group P4/mmm (No. 123)
Asymmetric unit:
Gd: 0.0000 0.0000 0.0000 (multiplicity 1)  8 Er 3.55, 4 Gd 3.57
Er: 0.5000 0.5000 0.2797 (multiplicity 2)  4 Hg 3.20, 4 Gd 3.55, 4 Er 3.57
Hg: 0.0000 0.0000 0.5000 (multiplicity 1)  8 Er 3.20, 4 Hg 3.57

Output
**Distance to the lowest polymorph of the same formula**: 0 meV/atom

---

Here is crystalline GdEr2Hg at its relaxed geometry from Alexandria via LeMat-Bulk. Energies are from GGA-PBE.

a = 4.8124 Å, b = 4.8124 Å, c = 4.7360 Å
α = 90.00°, β = 90.00°, γ = 90.00°
With the nearest neighbours (Å) after each atom.
Space group P4/mmm (No. 123)
Asymmetric unit:
Gd: 0.0000 0.0000 0.0000 (multiplicity 1)  8 Er 3.38, 4 Hg 3.40
Er: 0.0000 0.5000 0.5000 (multiplicity 2)  4 Hg 3.38, 4 Gd 3.38, 4 Er 3.40
Hg: 0.5000 0.5000 0.0000 (multiplicity 1)  8 Er 3.38, 4 Gd 3.40

Output
**Distance to the lowest polymorph of the same formula**: 54 meV/atom